No. 1
A plane-wave DFT calculation with GGA-PBE was carried out for crystalline ReAuBr at its relaxed geometry.

a b c (Å): 7.951 7.630 3.047
angles (deg): 84.71 72.86 22.43
Last column: magnetic moment on the atom in μB.
Fractional positions:
1 Re 0.673 0.673 0.327  0.56
2 Au 0.016 0.016 0.984  0.04
3 Br 0.311 0.311 0.689  0.01

Results
Space group = Fmm2 (42)
Excess energy over the best structure of this formula in the dataset = 0.1462 eV per atom
D(E_F) = 2.761 states/eV per cell

=====

No. 2
A plane-wave DFT calculation with GGA-PBE was carried out for crystalline ReAuBr2 at its relaxed geometry.

a b c (Å): 8.788 8.788 6.763
angles (deg): 49.48 49.48 90.00
Fractional positions:
1 Re 0.500 0.500 0.000
2 Re 0.250 0.750 0.500
3 Au 0.000 0.000 0.000
4 Au 0.750 0.250 0.500
5 Br 0.484 0.125 0.250
6 Br 0.266 0.625 0.250
7 Br 0.375 0.516 0.750
8 Br 0.875 0.734 0.750

Results
Space group = I-42d (122)
Excess energy over the best structure of this formula in the dataset = 0.2916 eV per atom
D(E_F) = 6.936 states/eV per cell

=====

No. 3
A plane-wave DFT calculation with GGA-PBE was carried out for crystalline Re4AuBr at its relaxed geometry.

a b c (Å): 5.286 5.286 5.286
angles (deg): 60.00 60.00 60.00
Fractional positions:
1 Re 0.876 0.375 0.375
2 Re 0.375 0.375 0.876
3 Re 0.375 0.876 0.375
4 Re 0.375 0.375 0.375
5 Au 0.750 0.750 0.750
6 Br 0.000 0.000 0.000

Results
Space group = F-43m (216)
D(E_F) = 5.978 states/eV per cell

=====

No. 4
A plane-wave DFT calculation with GGA-PBE was carried out for crystalline Re3AuBr at its relaxed geometry.

a b c (Å): 5.178 5.178 5.178
angles (deg): 90.00 90.00 90.00
Last column: magnetic moment on the atom in μB.
Fractional positions:
1 Re 0.000 0.500 0.000  3.42
2 Re 0.000 0.000 0.500  3.57
3 Re 0.500 0.000 0.000  3.01
4 Au 0.000 0.000 0.000  0.24
5 Br 0.500 0.500 0.500  0.28

Results
Space group = Pm-3m (221)
Excess energy over the best structure of this formula in the dataset = 0.7191 eV per atom
D(E_F) = 3.828 states/eV per cell

=====

No. 5
A plane-wave DFT calculation with GGA-PBE was carried out for crystalline ReAuBr2 at its relaxed geometry.

a b c (Å): 10.531 10.531 10.531
angles (deg): 17.04 17.04 17.04
Fractional positions:
1 Re 0.500 0.500 0.500
2 Au 0.000 0.000 0.000
3 Br 0.895 0.895 0.895
4 Br 0.105 0.105 0.105

Results
Space group = R-3m (166)
Excess energy over the best structure of this formula in the dataset = 0.3305 eV per atom
D(E_F) = 2.764 states/eV per cell

=====

No. 6
A plane-wave DFT calculation with GGA-PBE was carried out for crystalline ReAuBr2 at its relaxed geometry.

a b c (Å): 3.098 4.591 7.755
angles (deg): 72.95 90.00 90.00
Last column: magnetic moment on the atom in μB.
Fractional positions:
1 Re 0.000 0.262 0.600  1.05
2 Au 0.500 0.739 0.647  0.09
3 Br 0.000 0.101 0.927  0.06
4 Br 0.500 0.398 0.326  0.02

Results
Space group = Pm (6)
Excess energy over the best structure of this formula in the dataset = 0.0000 eV per atom
D(E_F) = 1.214 states/eV per cell

=====

No. 7
A plane-wave DFT calculation with GGA-PBE was carried out for crystalline ReAuBr2 at its relaxed geometry.

a b c (Å): 7.133 7.133 7.133
angles (deg): 155.55 141.10 46.48
Last column: magnetic moment on the atom in μB.
Fractional positions:
1 Re 0.510 0.510 0.000  0.76
2 Au 0.332 0.832 0.500  0.03
3 Br 0.992 0.992 0.000  0.01
4 Br 0.666 0.166 0.500  0.02

Results
Space group = Imm2 (44)
Excess energy over the best structure of this formula in the dataset = 0.3777 eV per atom
D(E_F) = 3.045 states/eV per cell

=====

No. 8
A plane-wave DFT calculation with GGA-PBE was carried out for crystalline ReAuBr2 at its relaxed geometry.

a b c (Å): 3.895 4.709 4.709
angles (deg): 90.00 90.00 90.00
Last column: magnetic moment on the atom in μB.
Fractional positions:
1 Re 0.500 0.500 0.000  3.23
2 Au 0.500 0.000 0.500  0.01
3 Br 0.000 0.000 0.000  0.09
4 Br 0.000 0.500 0.500  0.09

Results
Space group = P4/mmm (123)
Excess energy over the best structure of this formula in the dataset = 1.0192 eV per atom
D(E_F) = 2.150 states/eV per cell

=====

No. 9
A plane-wave DFT calculation with GGA-PBE was carried out for crystalline ReAu4Br at its relaxed geometry.

a b c (Å): 5.570 5.570 5.570
angles (deg): 60.00 60.00 60.00
Last column: magnetic moment on the atom in μB.
Fractional positions:
1 Re 0.000 0.000 0.000  3.43
2 Au 0.875 0.375 0.375  0.07
3 Au 0.375 0.375 0.875  0.07
4 Au 0.375 0.875 0.375  0.07
5 Au 0.375 0.375 0.375  0.07
6 Br 0.750 0.750 0.750  0.08

Results
Space group = F-43m (216)
D(E_F) = 3.348 states/eV per cell

=====

No. 10
A plane-wave DFT calculation with GGA-PBE was carried out for crystalline ReAuBr at its relaxed geometry.

a b c (Å): 4.621 4.621 2.883
angles (deg): 90.00 90.00 120.00
Fractional positions:
1 Re 0.333 0.667 0.500
2 Au 0.000 0.000 0.000
3 Br 0.667 0.333 0.500

Results
Space group = P-6m2 (187)
Excess energy over the best structure of this formula in the dataset = 0.4424 eV per atom
D(E_F) = 2.163 states/eV per cell

=====

No. 11
A plane-wave DFT calculation with GGA-PBE was carried out for crystalline ReAuBr2 at its relaxed geometry.

a b c (Å): 3.090 3.090 9.171
angles (deg): 90.00 90.00 90.00
Fractional positions:
1 Re 0.500 0.500 0.250
2 Au 0.500 0.500 0.750
3 Br 0.000 0.000 0.076
4 Br 0.000 0.000 0.424

Results
Space group = P4/mmm (123)
Excess energy over the best structure of this formula in the dataset = 0.6249 eV per atom
D(E_F) = 3.893 states/eV per cell

=====

No. 12
A plane-wave DFT calculation with GGA-PBE was carried out for crystalline ReAuBr2 at its relaxed geometry.

a b c (Å): 4.964 4.964 4.964
angles (deg): 60.00 60.00 60.00
Last column: magnetic moment on the atom in μB.
Fractional positions:
1 Re 0.750 0.750 0.750  3.27
2 Au 0.500 0.500 0.500  0.08
3 Br 0.000 0.000 0.000  0.04
4 Br 0.250 0.250 0.250  0.07

Results
Space group = F-43m (216)
Excess energy over the best structure of this formula in the dataset = 0.9610 eV per atom
D(E_F) = 1.750 states/eV per cell

=====

No. 13
A plane-wave DFT calculation with GGA-PBE was carried out for crystalline ReAuBr2 at its relaxed geometry.

a b c (Å): 5.035 5.035 3.112
angles (deg): 90.00 90.00 102.88
Fractional positions:
1 Re 0.500 0.000 0.500
2 Au 0.000 0.500 0.500
3 Br 0.000 0.000 0.000
4 Br 0.500 0.500 0.000

Results
Space group = Cmmm (65)
Excess energy over the best structure of this formula in the dataset = 0.9569 eV per atom
D(E_F) = 4.075 states/eV per cell

=====

No. 14
A plane-wave DFT calculation with GGA-PBE was carried out for crystalline ReAuBr2 at its relaxed geometry.

a b c (Å): 3.176 6.162 4.490
angles (deg): 90.00 90.00 90.00
Last column: magnetic moment on the atom in μB.
Fractional positions:
1 Re 0.500 0.000 0.500  2.55
2 Au 0.000 0.500 0.500  0.05
3 Br 0.000 0.000 0.000  0.05
4 Br 0.500 0.500 0.000  0.07

Results
Space group = Pmmm (47)
Excess energy over the best structure of this formula in the dataset = 0.8131 eV per atom
D(E_F) = 2.716 states/eV per cell

=====

No. 15
A plane-wave DFT calculation with GGA-PBE was carried out for crystalline ReAuBr4 at its relaxed geometry.

a b c (Å): 6.132 6.132 6.132
angles (deg): 60.00 60.00 60.00
Last column: magnetic moment on the atom in μB.
Fractional positions:
1 Re 0.750 0.750 0.750  4.07
2 Au 0.000 0.000 0.000  -0.17
3 Br 0.874 0.375 0.375  -0.11
4 Br 0.375 0.375 0.874  -0.11
5 Br 0.375 0.874 0.375  -0.11
6 Br 0.375 0.375 0.375  -0.11

Results
Space group = F-43m (216)
D(E_F) = 6.649 states/eV per cell

=====

No. 16
A plane-wave DFT calculation with GGA-PBE was carried out for crystalline ReAuBr2 at its relaxed geometry.

a b c (Å): 12.235 12.235 12.235
angles (deg): 13.94 13.94 13.94
Fractional positions:
1 Re 0.000 0.000 0.000
2 Au 0.500 0.500 0.500
3 Br 0.934 0.934 0.934
4 Br 0.066 0.066 0.066

Results
Space group = R-3m (166)
Excess energy over the best structure of this formula in the dataset = 0.2307 eV per atom
D(E_F) = 2.561 states/eV per cell

=====

No. 17
A plane-wave DFT calculation with GGA-PBE was carried out for crystalline ReAuBr at its relaxed geometry.

a b c (Å): 4.428 4.428 4.428
angles (deg): 60.00 60.00 60.00
Fractional positions:
1 Re 0.750 0.750 0.750
2 Au 0.000 0.000 0.000
3 Br 0.500 0.500 0.500

Results
Space group = F-43m (216)
Excess energy over the best structure of this formula in the dataset = 0.4931 eV per atom
D(E_F) = 2.950 states/eV per cell

=====

No. 18
A plane-wave DFT calculation with GGA-PBE was carried out for crystalline ReAu2Br8 at its relaxed geometry.

a b c (Å): 6.873 9.502 9.502
angles (deg): 46.94 62.71 62.71
Last column: magnetic moment on the atom in μB.
Fractional positions:
1 Re 0.000 0.000 0.000  0.90
2 Au 0.480 0.747 0.747  -0.03
3 Au 0.520 0.253 0.253  -0.03
4 Br 0.041 0.861 0.319  0.04
5 Br 0.041 0.319 0.861  0.04
6 Br 0.959 0.139 0.681  0.04
7 Br 0.467 0.400 0.400  -0.06
8 Br 0.959 0.681 0.139  0.04
9 Br 0.426 0.896 0.896  -0.03
10 Br 0.574 0.104 0.104  -0.03
11 Br 0.533 0.600 0.600  -0.06

Results
Space group = C2/m (12)
D(E_F) = 4.406 states/eV per cell

=====

No. 19
A plane-wave DFT calculation with GGA-PBE was carried out for crystalline ReRh2AuBr at its relaxed geometry.

a b c (Å): 4.989 4.887 4.989
angles (deg): 90.00 90.00 90.00
Last column: magnetic moment on the atom in μB.
Fractional positions:
1 Re 0.500 0.500 0.500  3.66
2 Au 0.000 0.000 0.000  0.08
3 Br 0.000 0.500 0.000  0.12
4 Rh 0.000 0.000 0.500  0.74
5 Rh 0.500 0.000 0.000  0.64

Results
Space group = P4/mmm (123)
D(E_F) = 7.655 states/eV per cell

=====

No. 20
A plane-wave DFT calculation with GGA-PBE was carried out for crystalline ReAuSeBr2 at its relaxed geometry.

a b c (Å): 5.213 5.213 4.717
angles (deg): 90.00 90.00 90.00
Last column: magnetic moment on the atom in μB.
Fractional positions:
1 Re 0.000 0.000 0.000  0.77
2 Au 0.500 0.500 0.500  -0.02
3 Se 0.000 0.000 0.500  -0.01
4 Br 0.000 0.500 0.000  0.04
5 Br 0.500 0.000 0.000  0.04

Results
Space group = P4/mmm (123)
Excess energy over the best structure of this formula in the dataset = 0.0000 eV per atom
D(E_F) = 5.298 states/eV per cell

=====

Values for energy relative to the elements, uncorrected, meV/atom, ordered as above
879; 641; 1232; 3042; 680; 349; 727; 1369; 881; 1176; 974; 1310; 1306; 1162; 1606; 580; 1226; -105; 2214; 663